First-principles (PBE) data for a relaxed structure of SmCdAgAu, as listed in Alexandria.

Cell: 7.0750 7.0750 7.0750 Å, 90.00 90.00 90.00°
Closest atoms and distances in Å follow each position.
Space group F-43m (No. 216)
Inequivalent atoms, fractional coordinates:
Sm 0.0000 0.0000 0.0000  4 Au 3.06, 4 Ag 3.06
Cd 0.0000 0.0000 0.5000  4 Ag 3.06, 4 Au 3.06
Ag 0.2500 0.2500 0.7500  4 Cd 3.06, 4 Sm 3.06
Au 0.2500 0.2500 0.2500  4 Cd 3.06, 4 Sm 3.06

N(E_F): 14.80 states/eV per cell
energy of formation from the pure elements: -0.47 eV per atom

---

First-principles (PBE) data for a relaxed structure of RbNpTe3, as listed in Alexandria.

Cell: 19.4990 4.4964 11.0164 Å, 90.00 115.84 90.00°
Closest atoms and distances in Å follow each position.
Space group C2/m (No. 12)
Inequivalent atoms, fractional coordinates:
Rb 0.1134 0.0000 0.2942  6 Te 3.70-3.99
Np 0.1877 0.5000 0.8104  6 Te 3.02-3.10
Te 0.0158 0.5000 0.6351  1 Te 2.76, 1 Np 3.05
Te 0.1477 0.0000 0.9625  3 Np 3.09-3.10
Te 0.2253 0.0000 0.6660  2 Np 3.02

formation energy without anion corrections: -0.664 eV per atom
N(E_F): 37.82 states/eV per cell

---

First-principles (PBE) data for a relaxed structure of AcH2I2, as listed in Alexandria.

Cell: 9.1895 11.9095 8.5497 Å, 90.00 106.17 90.00°
Closest atoms and distances in Å follow each position.
Space group C2/m (No. 12)
Inequivalent atoms, fractional coordinates:
Ac 0.0000 0.1782 0.0000  4 H 2.33
H 0.0456 0.0000 0.9112  1 H 1.27
H 0.0919 0.0000 0.0880  1 H 1.27
I 0.1841 0.2438 0.7321  2 Ac 3.29-3.30, 1 H 3.67

N(E_F): 0.00 states/eV per cell
energy: -3.5418 eV/atom

---

First-principles (PBE) data for a relaxed structure of ZrAuSe2, as listed in Alexandria.

Cell: 3.7284 3.7284 24.7888 Å, 90.00 90.00 120.00°
Closest atoms and distances in Å follow each position.
Space group R-3m (No. 166, hexagonal axes)
Inequivalent atoms, fractional coordinates:
Zr 0.0000 0.0000 0.0000  6 Se 2.71
Au 0.0000 0.0000 0.5000  2 Se 2.48
Se 0.0000 0.0000 0.4000  1 Au 2.48, 3 Zr 2.71

formation energy without anion corrections: -0.810 eV per atom
N(E_F): 5.54 states/eV per cell

---

First-principles (PBE) data for a relaxed structure of KUI2O8, as listed in Alexandria.

Cell: 6.4751 6.4751 7.4302 Å, 90.00 90.00 120.00°
Closest atoms and distances in Å follow each position.
Space group P-3m1 (No. 164)
Inequivalent atoms, fractional coordinates:
K 0.0000 0.0000 0.0000  6 O 2.98
U 0.0000 0.0000 0.5000  6 O 2.16
I 0.3333 0.6667 0.3109  1 O 1.78
O 0.1541 0.3082 0.3267  1 I 2.01, 1 U 2.16
O 0.3333 0.6667 0.0714  1 I 1.78

formation energy without anion corrections: -1.281 eV per atom
N(E_F): 0.85 states/eV per cell

---

First-principles (PBE) data for a relaxed structure of TlCuTc3, as listed in Alexandria.

Cell: 4.5486 4.5486 4.5486 Å, 90.00 90.00 90.00°
Closest atoms and distances in Å follow each position.
Space group Pm-3m (No. 221)
Inequivalent atoms, fractional coordinates:
Tl 0.0000 0.0000 0.0000  12 Tc 3.22
Cu 0.5000 0.5000 0.5000  6 Tc 2.27
Tc 0.0000 0.5000 0.5000  2 Cu 2.27

N(E_F): 6.07 states/eV per cell
energy of formation from the pure elements: 1.59 eV per atom

---

First-principles (PBE) data for a relaxed structure of K3Cu2HgCl8, as listed in Alexandria.

Cell: 7.2397 7.2397 8.9763 Å, 90.00 90.00 120.00°
Closest atoms and distances in Å follow each position.
Space group P-3m1 (No. 164)
Inequivalent atoms, fractional coordinates:
K 0.0000 0.0000 0.0000  6 Cl 3.54
K 0.3333 0.6667 0.6147  1 Cl 3.01
Cu 0.3333 0.6667 0.1914  4 Cl 2.17-2.33
Hg 0.0000 0.0000 0.5000  6 Cl 2.70
Cl 0.1701 0.3402 0.3149  1 Cu 2.33
Cl 0.3333 0.6667 0.9496  1 Cu 2.17

formation energy without anion corrections: -1.114 eV per atom
N(E_F): 9.30 states/eV per cell

---

First-principles (PBE) data for a relaxed structure of TlRe2Ag, as listed in Alexandria.

Cell: 3.1113 5.0082 4.7075 Å, 90.00 93.41 90.00°
Closest atoms and distances in Å follow each position.
Space group P2/m (No. 10)
Inequivalent atoms, fractional coordinates:
Tl 0.0000 0.0000 0.0000  4 Ag 2.74-2.90, 4 Re 2.88
Re 0.1909 0.5000 0.2831  1 Re 2.42
Ag 0.5000 0.0000 0.5000  4 Tl 2.74-2.90, 4 Re 2.85

N(E_F): 0.74 states/eV per cell
energy of formation from the pure elements: 0.89 eV per atom

---

First-principles (PBE) data for a relaxed structure of PmTh2Re, as listed in Alexandria.

Cell: 3.5585 3.5585 8.8539 Å, 90.00 90.00 90.00°
Closest atoms and distances in Å follow each position.
Space group P4/mmm (No. 123)
Inequivalent atoms, fractional coordinates:
Pm 0.0000 0.0000 0.0000  4 Pm 3.56, 8 Th 3.65
Th 0.5000 0.5000 0.2993  4 Re 3.08
Re 0.0000 0.0000 0.5000  8 Th 3.08

N(E_F): 7.27 states/eV per cell
energy of formation from the pure elements: 0.14 eV per atom

---

First-principles (PBE) data for a relaxed structure of Ca2ZrTe, as listed in Alexandria.

Cell: 12.7853 3.7773 5.5074 Å, 90.00 115.29 90.00°
Closest atoms and distances in Å follow each position.
Space group Cm (No. 8)
Inequivalent atoms, fractional coordinates:
Ca 0.0000 0.0000 0.0000  2 Te 3.26, 4 Zr 3.45, 2 Ca 3.63-3.64
Ca 0.2054 0.0000 0.7029  4 Te 3.35, 2 Ca 3.63-3.64, 1 Zr 3.72
Zr 0.4244 0.0000 0.4246  2 Te 2.93
Te 0.2302 0.5000 0.2275  2 Zr 2.93, 2 Ca 3.26

formation energy without anion corrections: -0.309 eV per atom
N(E_F): 8.82 states/eV per cell

---

First-principles (PBE) data for a relaxed structure of K2Dy2PaS6, as listed in Alexandria.

Cell: 6.9822 12.0710 7.8920 Å, 90.00 107.36 90.00°
Closest atoms and distances in Å follow each position.
Space group C2/m (No. 12)
Inequivalent atoms, fractional coordinates:
K 0.0000 0.1684 0.0000  6 S 3.26
Dy 0.0000 0.3339 0.5000  6 S 2.75-2.77
Pa 0.0000 0.0000 0.5000  6 S 2.72-2.74
S 0.2297 0.1660 0.6959  1 Pa 2.74, 2 Dy 2.75-2.77
S 0.2382 0.5000 0.6957  1 Pa 2.72, 2 Dy 2.76

formation energy without anion corrections: -1.819 eV per atom
N(E_F): 3.78 states/eV per cell

---

First-principles (PBE) data for a relaxed structure of La16Y6Tm7, as listed in Alexandria.

Cell: 16.1830 16.1830 16.1830 Å, 90.00 90.00 90.00°
Closest atoms and distances in Å follow each position.
Space group Fm-3m (No. 225)
Inequivalent atoms, fractional coordinates:
La 0.1249 0.1249 0.1249  4 Tm 3.50, 3 Y 3.63, 3 La 3.70
La 0.1488 0.1488 0.3512  3 Tm 3.34, 3 Y 3.69, 3 La 3.70
Y 0.0000 0.0000 0.2629  8 La 3.63-3.69, 4 Tm 4.05
Tm 0.0000 0.0000 0.0000  8 La 3.50
Tm 0.0000 0.2500 0.2500  8 La 3.34-3.50

N(E_F): 180.55 states/eV per cell
energy of formation from the pure elements: 0.18 eV per atom

---

First-principles (PBE) data for a relaxed structure of Ca3GdH, as listed in Alexandria.

Cell: 5.2900 5.2900 5.2900 Å, 90.00 90.00 90.00°
Closest atoms and distances in Å follow each position.
Space group Pm-3m (No. 221)
Inequivalent atoms, fractional coordinates:
Ca 0.0000 0.0000 0.5000  2 H 2.64
Gd 0.5000 0.5000 0.5000  12 Ca 3.74
H 0.0000 0.0000 0.0000  6 Ca 2.64

N(E_F): 9.63 states/eV per cell
energy: -4.6967 eV/atom

---

First-principles (PBE) data for a relaxed structure of TbLu2Tc, as listed in Alexandria.

Cell: 4.7953 4.7953 14.7101 Å, 90.00 90.00 120.00°
Closest atoms and distances in Å follow each position.
Space group R-3m (No. 166, hexagonal axes)
Inequivalent atoms, fractional coordinates:
Tb 0.0000 0.0000 0.0000  8 Lu 3.18-3.33
Lu 0.0000 0.0000 0.2264  3 Tc 2.90, 3 Tb 3.18
Tc 0.0000 0.0000 0.5000  6 Lu 2.90

N(E_F): 11.37 states/eV per cell
energy of formation from the pure elements: 0.13 eV per atom

---

First-principles (PBE) data for a relaxed structure of CdReP2, as listed in Alexandria.

Cell: 5.7652 5.7652 10.8611 Å, 90.00 90.00 90.00°
Closest atoms and distances in Å follow each position.
Space group I-42d (No. 122)
Inequivalent atoms, fractional coordinates:
Cd 0.0000 0.0000 0.0000  4 P 2.65
Re 0.0000 0.0000 0.5000  4 P 2.28
P 0.1949 0.2500 0.6250  2 Re 2.28

N(E_F): 9.26 states/eV per cell
energy of formation from the pure elements: 0.16 eV per atom

---

First-principles (PBE) data for a relaxed structure of VReMoW, as listed in Alexandria.

Cell: 6.2298 6.2298 6.2298 Å, 90.00 90.00 90.00°
Closest atoms and distances in Å follow each position.
Space group F-43m (No. 216)
Inequivalent atoms, fractional coordinates:
V 0.0000 0.0000 0.0000  4 Mo 2.70, 4 Re 2.70
Re 0.2500 0.2500 0.7500  4 V 2.70, 4 W 2.70
Mo 0.2500 0.2500 0.2500  4 W 2.70, 4 V 2.70
W 0.0000 0.0000 0.5000  4 Mo 2.70, 4 Re 2.70

N(E_F): 12.36 states/eV per cell
energy of formation from the pure elements: -0.18 eV per atom

---

First-principles (PBE) data for a relaxed structure of TaHgH, as listed in Alexandria.

Cell: 3.0762 5.5202 5.8960 Å, 116.97 103.90 91.84°
Closest atoms and distances in Å follow each position.
Space group P-1 (No. 2)
Inequivalent atoms, fractional coordinates:
Ta 0.2304 0.2227 0.4701  3 H 1.92-2.01
Hg 0.4966 0.2406 0.9839  2 H 2.62-2.65, 2 Hg 2.75-2.78, 1 Ta 2.90
H 0.1947 0.5429 0.3946  3 Ta 1.92-2.01, 1 H 2.10

N(E_F): 2.34 states/eV per cell
energy: -5.0095 eV/atom

---

First-principles (PBE) data for a relaxed structure of La2TaCo, as listed in Alexandria.

Cell: 3.3270 3.3233 8.4849 Å, 90.00 90.16 90.00°
Closest atoms and distances in Å follow each position.
Space group P2/m (No. 10)
Inequivalent atoms, fractional coordinates:
La 0.0009 0.0000 0.2825  4 Co 2.98-2.99, 4 La 3.32-3.33
Ta 0.5000 0.5000 0.0000  4 Ta 3.32-3.33, 8 La 3.36
Co 0.5000 0.5000 0.5000  8 La 2.98-2.99, 4 Co 3.32-3.33

N(E_F): 5.16 states/eV per cell
energy of formation from the pure elements: 0.42 eV per atom

---

First-principles (PBE) data for a relaxed structure of PmHo6Zn2, as listed in Alexandria.

Cell: 4.7775 4.7775 25.3280 Å, 90.00 90.00 90.00°
Closest atoms and distances in Å follow each position.
Space group I4/mmm (No. 139)
Inequivalent atoms, fractional coordinates:
Pm 0.0000 0.0000 0.0000  8 Ho 3.67
Ho 0.0000 0.5000 0.1098  2 Zn 2.96
Ho 0.0000 0.5000 0.2500  4 Zn 2.99
Zn 0.0000 0.0000 0.3211  8 Ho 2.96-2.99

N(E_F): 32.40 states/eV per cell
energy of formation from the pure elements: 0.26 eV per atom

---

First-principles (PBE) data for a relaxed structure of Ca2LaPd2, as listed in Alexandria.

Cell: 7.6934 7.6934 4.4685 Å, 90.00 90.00 90.00°
Closest atoms and distances in Å follow each position.
Space group P4/mbm (No. 127)
Inequivalent atoms, fractional coordinates:
Ca 0.1605 0.3395 0.0000  6 Pd 3.17-3.18, 1 Ca 3.49
La 0.0000 0.0000 0.5000  4 Pd 3.01
Pd 0.1312 0.6312 0.5000  1 Pd 2.86, 2 La 3.01, 6 Ca 3.17-3.18

N(E_F): 9.43 states/eV per cell
energy of formation from the pure elements: -0.59 eV per atom

---

First-principles (PBE) data for a relaxed structure of LaSm2Sn, as listed in Alexandria.

Cell: 7.8183 7.8183 7.8183 Å, 90.00 90.00 90.00°
Closest atoms and distances in Å follow each position.
Space group Fm-3m (No. 225)
Inequivalent atoms, fractional coordinates:
La 0.0000 0.0000 0.0000  8 Sm 3.39
Sm 0.2500 0.2500 0.2500  4 La 3.39, 4 Sn 3.39
Sn 0.0000 0.0000 0.5000  8 Sm 3.39

N(E_F): 24.44 states/eV per cell
energy of formation from the pure elements: -0.26 eV per atom

---

First-principles (PBE) data for a relaxed structure of Al4SiAu, as listed in Alexandria.

Cell: 7.4938 7.4938 7.4938 Å, 90.00 90.00 90.00°
Closest atoms and distances in Å follow each position.
Space group F-43m (No. 216)
Inequivalent atoms, fractional coordinates:
Al 0.1249 0.1249 0.1249  6 Al 2.65
Si 0.2500 0.2500 0.7500  12 Al 3.11, 4 Au 3.24
Au 0.0000 0.0000 0.5000  12 Al 3.11, 4 Si 3.24

formation energy without anion corrections: 0.274 eV per atom
N(E_F): 6.56 states/eV per cell

---

First-principles (PBE) data for a relaxed structure of NiGe2Br, as listed in Alexandria.

Cell: 5.7739 5.7739 12.1416 Å, 90.00 90.00 90.00°
Closest atoms and distances in Å follow each position.
Space group I-42d (No. 122)
Inequivalent atoms, fractional coordinates:
Ni 0.0000 0.0000 0.0000  4 Ge 2.24
Ge 0.1386 0.2500 0.1250  2 Ni 2.24
Br 0.0000 0.0000 0.5000  4 Ge 2.96

formation energy without anion corrections: 0.103 eV per atom
N(E_F): 7.21 states/eV per cell

---

First-principles (PBE) data for a relaxed structure of MgTcIr, as listed in Alexandria.

Cell: 14.1018 2.8654 4.5757 Å, 90.00 93.60 90.00°
Closest atoms and distances in Å follow each position.
Space group Cm (No. 8)
Inequivalent atoms, fractional coordinates:
Mg 0.0000 0.0000 0.0000  6 Ir 2.69-2.85, 3 Tc 2.86-2.97, 3 Mg 2.87
Mg 0.1654 0.0000 0.3986  6 Ir 2.64-2.83, 1 Tc 2.76, 3 Mg 2.87
Tc 0.3174 0.0000 0.0464  2 Ir 2.61, 6 Tc 2.71-2.87, 1 Mg 2.76
Tc 0.3475 0.5000 0.5586  2 Ir 2.58, 6 Tc 2.71-2.87, 1 Mg 2.86
Ir 0.1686 0.5000 0.8836  2 Tc 2.61, 6 Mg 2.64-2.85, 3 Ir 2.87-2.90
Ir 0.4974 0.0000 0.4965  2 Tc 2.58, 6 Mg 2.69-2.83, 2 Ir 2.87

N(E_F): 8.39 states/eV per cell
energy of formation from the pure elements: -0.10 eV per atom

---

First-principles (PBE) data for a relaxed structure of BeHgSe, as listed in Alexandria.

Cell: 3.6203 7.6221 13.5600 Å, 90.00 90.00 90.00°
Closest atoms and distances in Å follow each position.
Space group Fmm2 (No. 42)
Inequivalent atoms, fractional coordinates:
Be 0.0000 0.0000 0.0000  2 Se 2.03
Hg 0.0000 0.0000 0.3009  2 Be 3.25, 2 Hg 3.62, 3 Se 3.63-3.64
Se 0.0000 0.0000 0.5684  2 Be 2.03

formation energy without anion corrections: 0.048 eV per atom